Cs3BiC: PBEsol geometry, SCAN.

The space group is Pm-3m (No. 221) and the conventional cell measures 6.1873, 6.1873 and 6.1873 Å, with angles of 90.00, 90.00 and 90.00 degrees. The asymmetric unit holds Cs at (0.0000, 0.0000, 0.5000), Bi at (0.5000, 0.5000, 0.5000) and C at (0.0000, 0.0000, 0.0000).

The calculation puts the formation energy at 0.627 eV/atom. The value obtained for the magnetization is 4.00 μB/f.u.

CsBi3C: PBEsol geometry, SCAN.

The space group is Pm-3m (No. 221) and the conventional cell measures 5.2195, 5.2195 and 5.2195 Å, with angles of 90.00, 90.00 and 90.00 degrees. The asymmetric unit holds Cs at (0.0000, 0.0000, 0.0000), Bi at (0.0000, 0.5000, 0.5000) and C at (0.5000, 0.5000, 0.5000).

The calculation puts the formation energy at 0.961 eV/atom. The value obtained for the magnetization is 0.00 μB/f.u.

CsBi2RhC: PBEsol geometry, SCAN.

The space group is P4/mmm (No. 123) and the conventional cell measures 4.8742, 4.8742 and 5.1675 Å, with angles of 90.00, 90.00 and 90.00 degrees. The asymmetric unit holds Cs at (0.0000, 0.0000, 0.0000), Bi at (0.0000, 0.5000, 0.5000), Rh at (0.5000, 0.5000, 0.0000) and C at (0.0000, 0.0000, 0.5000).

The calculation puts the formation energy at 1.534 eV/atom. The value obtained for the magnetization is 0.00 μB/f.u.

NbCuBi2C: PBEsol geometry, SCAN.

The space group is P4/mmm (No. 123) and the conventional cell measures 5.4911, 5.4911 and 3.9979 Å, with angles of 90.00, 90.00 and 90.00 degrees. The asymmetric unit holds Nb at (0.0000, 0.0000, 0.0000), Cu at (0.5000, 0.5000, 0.5000), Bi at (0.0000, 0.5000, 0.0000) and C at (0.0000, 0.0000, 0.5000).

The calculation puts the formation energy at 1.239 eV/atom. The value obtained for the magnetization is 0.00 μB/f.u.

BiC2F: PBEsol geometry, SCAN.

The space group is I4_1/amd (No. 141, origin choice 2) and the conventional cell measures 3.2535, 3.2535 and 19.9256 Å, with angles of 90.00, 90.00 and 90.00 degrees. The asymmetric unit holds Bi at (0.0000, 0.2500, 0.3750), C at (0.0000, 0.0000, 0.0000) and F at (0.0000, 0.2500, 0.8750).

As for the uncorrected formation energy: 146.84 kJ/mol of atoms. The value obtained for the magnetization is 0.00 μB/f.u.

BiCI2F: PBEsol geometry, SCAN.

The space group is P4/mmm (No. 123) and the conventional cell measures 5.2230, 5.2230 and 3.9249 Å, with angles of 90.00, 90.00 and 90.00 degrees. The asymmetric unit holds Bi at (0.0000, 0.0000, 0.0000), C at (0.5000, 0.5000, 0.5000), I at (0.0000, 0.5000, 0.5000) and F at (0.5000, 0.5000, 0.0000).

As for the uncorrected formation energy: 71.03 kJ/mol of atoms. The value obtained for the magnetization is 0.00 μB/f.u.

NiBiC2F: PBEsol geometry, SCAN.

The space group is P4/mmm (No. 123) and the conventional cell measures 4.4144, 4.4144 and 5.0528 Å, with angles of 90.00, 90.00 and 90.00 degrees. The asymmetric unit holds Ni at (0.0000, 0.0000, 0.0000), Bi at (0.0000, 0.0000, 0.5000), C at (0.0000, 0.5000, 0.5000) and F at (0.5000, 0.5000, 0.0000).

As for the uncorrected formation energy: 242.73 kJ/mol of atoms. The value obtained for the magnetization is 2.21 μB/f.u.

ZnBiCF2: PBEsol geometry, SCAN.

The space group is P4/mmm (No. 123) and the conventional cell measures 4.4106, 4.4106 and 4.7858 Å, with angles of 90.00, 90.00 and 90.00 degrees. The asymmetric unit holds Zn at (0.0000, 0.0000, 0.0000), Bi at (0.5000, 0.5000, 0.5000), C at (0.5000, 0.5000, 0.0000) and F at (0.0000, 0.5000, 0.5000).

As for the uncorrected formation energy: 8.12 kJ/mol of atoms. The value obtained for the magnetization is 0.84 μB/f.u.